# HfZn3Rh

Crystalline HfZn3Rh at its relaxed geometry (GGA-PBE, Alexandria).

Cell and atoms, written as POSCAR:
```
HfZn3Rh
1.0
5.018 0.000 0.000
0.000 5.018 0.000
0.000 0.000 5.018
Hf Zn Rh
1 3 1
Cartesian
0.000 0.000 0.000
0.000 0.000 2.509
0.000 2.509 0.000
2.509 0.000 0.000
2.509 2.509 2.509
```

E_form, kcal/mol of atoms: 33.6
Magnetization, μB per formula unit: 0.00
Energy above the lowest structure with this stoichiometry, meV/atom: 1819
Uncorrected energy, eV/atom: -2.768


# Ca2Mg2Zn

Crystalline Ca2Mg2Zn at its relaxed geometry (GGA-PBE, Alexandria).

Cell and atoms, written as POSCAR:
```
Ca2Mg2Zn
1.0
4.621 -2.668 0.000
4.621 2.668 0.000
-3.090 0.000 5.507
Ca Mg Zn
2 2 1
Cartesian
-0.002 0.000 1.808
6.154 0.000 3.699
-0.011 0.000 5.435
6.162 0.000 0.072
3.076 0.000 2.754
```

E_form, kcal/mol of atoms: -2.8
Magnetization, μB per formula unit: 0.00
Energy above the lowest structure with this stoichiometry, meV/atom: 8
Uncorrected energy, eV/atom: -1.815


- Which of these has the lowest E_form?
  Ca2Mg2Zn


- The lowest E_form belongs to which entry?
  Ca2Mg2Zn


- Among the records above, which one has the lowest E_form?
  Ca2Mg2Zn


- Among the records above, which one has the highest energy above the lowest structure with this stoichiometry?
  HfZn3Rh